No. 1
VASP calculation (PBE-GGA) on an optimized crystal structure of RuS2BrN. Values from VASP.

```
&SYSTEM
  ibrav = 0, nat = 5, ntyp = 4
/
ATOMIC_SPECIES
Ru 101.07 Ru.upf
S 32.06 S.upf
Br 79.90 Br.upf
N 14.01 N.upf
ATOMIC_POSITIONS angstrom
Ru 0.000 0.000 0.000
S 0.000 2.425 0.000
S 2.425 0.000 0.000
Br 2.425 2.425 1.849
N 0.000 0.000 1.849
CELL_PARAMETERS angstrom
4.851 0.000 0.000
0.000 4.851 0.000
0.000 0.000 3.698
```

Properties
Spin magnetization   0.0 μB per cell
ΔE_f (raw)   63.6 kJ/mol of atoms
E_tot   -24.24 eV/f.u.

---

No. 2
VASP calculation (PBE-GGA) on an optimized crystal structure of Al2GaAg. Values from VASP.

```
&SYSTEM
  ibrav = 0, nat = 4, ntyp = 3
/
ATOMIC_SPECIES
Al 26.98 Al.upf
Ga 69.72 Ga.upf
Ag 107.87 Ag.upf
ATOMIC_POSITIONS angstrom
Al 0.000 0.000 6.420
Al 0.000 0.000 19.345
Ga 0.000 0.000 12.883
Ag 0.000 0.000 0.000
CELL_PARAMETERS angstrom
1.518 0.877 8.588
-1.518 0.877 8.588
0.000 -1.753 8.588
```

Properties
Spin magnetization   0.0 μB per cell
E_tot   -13.44 eV/f.u.

---

No. 3
VASP calculation (PBE-GGA) on an optimized crystal structure of InRu3Pt. Values from VASP.

```
&SYSTEM
  ibrav = 0, nat = 5, ntyp = 3
/
ATOMIC_SPECIES
In 114.82 In.upf
Ru 101.07 Ru.upf
Pt 195.08 Pt.upf
ATOMIC_POSITIONS angstrom
In 0.000 0.000 0.000
Ru 0.000 2.402 2.402
Ru 2.402 0.000 2.402
Ru 2.402 2.402 0.000
Pt 2.402 2.402 2.402
CELL_PARAMETERS angstrom
4.804 0.000 0.000
0.000 4.804 0.000
0.000 0.000 4.804
```

Properties
Spin magnetization   4.9 μB per cell
E_tot   -28.54 eV/f.u.

---

No. 4
VASP calculation (PBE-GGA) on an optimized crystal structure of Mo2AsPt. Values from VASP.

```
&SYSTEM
  ibrav = 0, nat = 4, ntyp = 3
/
ATOMIC_SPECIES
Mo 95.94 Mo.upf
As 74.92 As.upf
Pt 195.08 Pt.upf
ATOMIC_POSITIONS angstrom
Mo 0.000 0.000 6.435
Mo 0.000 0.000 19.678
As 0.000 0.000 13.057
Pt 0.000 0.000 0.000
CELL_PARAMETERS angstrom
1.441 0.832 8.704
-1.441 0.832 8.704
0.000 -1.664 8.704
```

Properties
Spin magnetization   0.0 μB per cell
E_tot   -32.10 eV/f.u.

---

No. 5
VASP calculation (PBE-GGA) on an optimized crystal structure of TcRhN. Values from VASP.

```
&SYSTEM
  ibrav = 0, nat = 6, ntyp = 3
/
ATOMIC_SPECIES
Tc 98.00 Tc.upf
Rh 102.91 Rh.upf
N 14.01 N.upf
ATOMIC_POSITIONS angstrom
Tc 0.000 0.000 0.000
Tc 1.370 0.000 4.606
Rh 3.506 0.000 2.894
Rh 6.257 0.000 2.375
N 3.866 0.000 0.899
N 6.544 0.000 0.360
CELL_PARAMETERS angstrom
5.012 -1.393 0.000
5.012 1.393 0.000
-1.279 0.000 5.275
```

Properties
Spin magnetization   0.0 μB per cell
ΔE_f (raw)   6.9 kJ/mol of atoms
E_tot   -25.83 eV/f.u.

---

No. 6
VASP calculation (PBE-GGA) on an optimized crystal structure of ReAu2Se. Values from VASP.

```
&SYSTEM
  ibrav = 0, nat = 4, ntyp = 3
/
ATOMIC_SPECIES
Re 186.21 Re.upf
Au 196.97 Au.upf
Se 78.96 Se.upf
ATOMIC_POSITIONS angstrom
Re 0.000 0.000 0.000
Au 1.452 0.000 2.459
Au 0.000 2.051 4.003
Se 0.000 0.000 6.462
CELL_PARAMETERS angstrom
-1.452 2.051 6.462
1.452 -2.051 6.462
1.452 2.051 -6.462
```

Properties
Spin magnetization   0.0 μB per cell
ΔE_f (raw)   51.4 kJ/mol of atoms
E_tot   -20.36 eV/f.u.

---

No. 7
VASP calculation (PBE-GGA) on an optimized crystal structure of YZr2P. Values from VASP.

```
&SYSTEM
  ibrav = 0, nat = 4, ntyp = 3
/
ATOMIC_SPECIES
Y 88.91 Y.upf
Zr 91.22 Zr.upf
P 30.97 P.upf
ATOMIC_POSITIONS angstrom
Y 0.000 0.000 0.000
Zr 1.975 0.000 2.753
Zr 1.975 0.000 6.103
P 0.000 0.000 4.428
CELL_PARAMETERS angstrom
1.975 -2.639 0.000
1.975 2.639 0.000
0.000 0.000 8.856
```

Properties
Spin magnetization   0.0 μB per cell
E_tot   -30.66 eV/f.u.

---

No. 8
VASP calculation (PBE-GGA) on an optimized crystal structure of La12OsPb6. Values from VASP.

```
&SYSTEM
  ibrav = 0, nat = 19, ntyp = 3
/
ATOMIC_SPECIES
La 138.91 La.upf
Os 190.23 Os.upf
Pb 207.20 Pb.upf
ATOMIC_POSITIONS angstrom
La -5.624 -1.555 8.134
La -1.466 -5.648 6.584
La -1.431 -1.795 5.717
La -4.159 4.093 6.584
La -0.839 2.137 5.717
La -2.270 0.342 9.001
La 2.270 -0.342 5.717
La 0.839 -2.137 9.001
La 4.159 -4.093 8.134
La 1.431 1.795 9.001
La 1.466 5.648 8.134
La 5.624 1.555 6.584
Os 0.000 0.000 0.000
Pb -3.822 0.586 6.086
Pb -2.418 -3.016 8.632
Pb 1.403 -3.603 6.086
Pb -1.403 3.603 8.632
Pb 2.418 3.016 6.086
Pb 3.822 -0.586 8.632
CELL_PARAMETERS angstrom
6.385 3.687 4.906
-6.385 3.687 4.906
0.000 -7.373 4.906
```

Properties
Spin magnetization   0.0 μB per cell
E_tot   -99.88 eV/f.u.

---

No. 9
VASP calculation (PBE-GGA) on an optimized crystal structure of Nd2ErRhO6. Values from VASP.

```
&SYSTEM
  ibrav = 0, nat = 20, ntyp = 4
/
ATOMIC_SPECIES
Nd 144.24 Nd.upf
Er 167.26 Er.upf
Rh 102.91 Rh.upf
O 16.00 O.upf
ATOMIC_POSITIONS angstrom
Nd -0.069 0.378 2.019
Nd -2.771 2.591 6.076
Nd 3.004 3.346 2.037
Nd 0.302 5.559 6.094
Er 2.818 0.000 0.000
Er 0.116 2.969 4.057
Rh -2.702 0.000 4.057
Rh 0.000 2.969 0.000
O -4.370 1.210 7.619
O -1.668 1.758 3.562
O -3.741 4.129 7.618
O -1.039 4.777 3.561
O -1.962 0.283 6.001
O 0.740 2.686 1.944
O -0.507 3.251 6.169
O 2.195 5.654 2.113
O 1.272 1.160 4.552
O 3.974 1.809 0.495
O 1.901 4.179 4.551
O 4.603 4.727 0.494
CELL_PARAMETERS angstrom
5.637 0.000 0.000
0.000 5.937 0.000
-5.404 0.000 8.113
```

Properties
Spin magnetization   0.0 μB per cell
ΔE_f (raw)   -264.2 kJ/mol of atoms
E_tot   -78.58 eV/f.u.

---

No. 10
VASP calculation (PBE-GGA) on an optimized crystal structure of K2PdPtO4. Values from VASP.

```
&SYSTEM
  ibrav = 0, nat = 16, ntyp = 4
/
ATOMIC_SPECIES
K 39.10 K.upf
Pd 106.42 Pd.upf
Pt 195.08 Pt.upf
O 16.00 O.upf
ATOMIC_POSITIONS angstrom
K 2.261 5.130 0.891
K 3.769 8.550 5.586
K 2.261 5.130 13.194
K 3.769 8.550 17.889
Pd 0.754 1.710 2.347
Pd 5.276 11.970 16.432
Pt 2.261 5.130 7.042
Pt 3.769 8.550 11.737
O 3.747 3.831 7.039
O 3.747 6.429 7.045
O 5.255 7.251 11.740
O 5.255 9.849 11.734
O 0.775 3.831 7.045
O 0.775 6.429 7.039
O 2.282 7.251 11.734
O 2.282 9.849 11.740
CELL_PARAMETERS angstrom
0.000 6.840 9.390
3.015 0.000 9.390
3.015 6.840 0.000
```

Properties
Spin magnetization   4.0 μB per cell
ΔE_f (raw)   -80.2 kJ/mol of atoms
E_tot   -39.91 eV/f.u.

---

No. 11
VASP calculation (PBE-GGA) on an optimized crystal structure of SnHOs. Values from VASP.

```
&SYSTEM
  ibrav = 0, nat = 6, ntyp = 3
/
ATOMIC_SPECIES
Sn 118.71 Sn.upf
H 1.01 H.upf
Os 190.23 Os.upf
ATOMIC_POSITIONS angstrom
Sn 0.000 0.000 1.557
Sn 0.000 0.000 6.460
H 0.901 2.626 0.000
H 1.166 0.000 4.008
Os 2.067 1.252 0.000
Os 0.000 1.374 4.008
CELL_PARAMETERS angstrom
-2.067 2.626 4.008
2.067 -2.626 4.008
2.067 2.626 -4.008
```

Properties
Spin magnetization   0.0 μB per cell
E_tot   -17.89 eV/f.u.

---

No. 12
VASP calculation (PBE-GGA) on an optimized crystal structure of Zr3PdRu. Values from VASP.

```
&SYSTEM
  ibrav = 0, nat = 5, ntyp = 3
/
ATOMIC_SPECIES
Zr 91.22 Zr.upf
Pd 106.42 Pd.upf
Ru 101.07 Ru.upf
ATOMIC_POSITIONS angstrom
Zr 0.000 0.000 2.483
Zr 0.000 2.483 0.000
Zr 2.483 0.000 0.000
Pd 0.000 0.000 0.000
Ru 2.483 2.483 2.483
CELL_PARAMETERS angstrom
4.966 0.000 0.000
0.000 4.966 0.000
0.000 0.000 4.966
```

Properties
Spin magnetization   0.0 μB per cell
E_tot   -36.01 eV/f.u.

---

No. 13
VASP calculation (PBE-GGA) on an optimized crystal structure of MgAlAuC2. Values from VASP.

```
&SYSTEM
  ibrav = 0, nat = 5, ntyp = 4
/
ATOMIC_SPECIES
Mg 24.30 Mg.upf
Al 26.98 Al.upf
Au 196.97 Au.upf
C 12.01 C.upf
ATOMIC_POSITIONS angstrom
Mg 0.000 0.000 0.000
Al 2.027 2.027 0.000
Au 2.027 2.027 2.767
C 0.000 2.027 2.767
C 2.027 0.000 2.767
CELL_PARAMETERS angstrom
4.055 0.000 0.000
0.000 4.055 0.000
0.000 0.000 5.535
```

Properties
Spin magnetization   0.0 μB per cell
E_tot   -17.15 eV/f.u.

---

No. 14
VASP calculation (PBE-GGA) on an optimized crystal structure of FeIr3Rh2. Values from VASP.

```
&SYSTEM
  ibrav = 0, nat = 12, ntyp = 3
/
ATOMIC_SPECIES
Fe 55.84 Fe.upf
Ir 192.22 Ir.upf
Rh 102.91 Rh.upf
ATOMIC_POSITIONS angstrom
Fe 2.685 4.618 3.669
Fe 2.685 -4.618 1.223
Ir 1.359 2.398 3.669
Ir 2.685 1.988 1.223
Ir 1.359 -2.398 1.223
Ir 4.010 2.398 3.669
Ir 2.685 -1.988 3.669
Ir 4.010 -2.398 1.223
Rh 1.307 0.000 0.000
Rh 1.307 0.000 2.446
Rh 4.062 0.000 0.000
Rh 4.062 0.000 2.446
CELL_PARAMETERS angstrom
2.685 -6.628 0.000
2.685 6.628 0.000
0.000 0.000 4.892
```

Properties
Spin magnetization   5.5 μB per cell
E_tot   -48.47 eV/f.u.

---

No. 15
VASP calculation (PBE-GGA) on an optimized crystal structure of Na3Ce3ScSe8. Values from VASP.

```
&SYSTEM
  ibrav = 0, nat = 15, ntyp = 4
/
ATOMIC_SPECIES
Na 22.99 Na.upf
Ce 140.12 Ce.upf
Sc 44.96 Sc.upf
Se 78.96 Se.upf
ATOMIC_POSITIONS angstrom
Na 0.000 0.000 0.000
Na 3.590 2.083 0.000
Na 3.590 -2.083 0.000
Ce 3.587 2.083 3.648
Ce 3.587 -2.083 3.648
Ce 7.177 0.000 3.648
Sc -0.003 0.000 3.648
Se 6.029 2.212 2.086
Se 2.308 0.000 1.994
Se 8.326 2.212 5.211
Se 4.754 0.000 5.318
Se 9.601 0.000 1.979
Se 6.029 -2.212 2.086
Se 12.047 0.000 5.303
Se 8.326 -2.212 5.211
CELL_PARAMETERS angstrom
7.181 -4.165 0.000
7.181 4.165 0.000
-0.006 0.000 7.296
```

Properties
Spin magnetization   2.0 μB per cell
ΔE_f (raw)   -152.6 kJ/mol of atoms
E_tot   -79.69 eV/f.u.

---

No. 16
VASP calculation (PBE-GGA) on an optimized crystal structure of HfGaRu2Se. Values from VASP.

```
&SYSTEM
  ibrav = 0, nat = 5, ntyp = 4
/
ATOMIC_SPECIES
Hf 178.49 Hf.upf
Ga 69.72 Ga.upf
Ru 101.07 Ru.upf
Se 78.96 Se.upf
ATOMIC_POSITIONS angstrom
Hf 0.000 0.000 0.000
Ga 2.440 2.440 2.513
Ru 0.000 2.440 0.000
Ru 2.440 0.000 0.000
Se 0.000 0.000 2.513
CELL_PARAMETERS angstrom
4.880 0.000 0.000
0.000 4.880 0.000
0.000 0.000 5.026
```

Properties
Spin magnetization   2.8 μB per cell
ΔE_f (raw)   100.1 kJ/mol of atoms
E_tot   -29.83 eV/f.u.

---

No. 17
VASP calculation (PBE-GGA) on an optimized crystal structure of La2MgAl. Values from VASP.

```
&SYSTEM
  ibrav = 0, nat = 4, ntyp = 3
/
ATOMIC_SPECIES
La 138.91 La.upf
Mg 24.30 Mg.upf
Al 26.98 Al.upf
ATOMIC_POSITIONS angstrom
La 0.000 0.000 0.000
La 0.000 2.355 2.536
Mg 2.355 0.000 2.536
Al 0.000 0.000 5.071
CELL_PARAMETERS angstrom
-2.355 2.355 5.071
2.355 -2.355 5.071
2.355 2.355 -5.071
```

Properties
Spin magnetization   0.0 μB per cell
E_tot   -15.77 eV/f.u.

---

No. 18
VASP calculation (PBE-GGA) on an optimized crystal structure of Ta5CrTc4. Values from VASP.

```
&SYSTEM
  ibrav = 0, nat = 10, ntyp = 3
/
ATOMIC_SPECIES
Ta 180.95 Ta.upf
Cr 52.00 Cr.upf
Tc 98.00 Tc.upf
ATOMIC_POSITIONS angstrom
Ta 0.000 0.000 0.000
Ta 0.000 0.000 3.208
Ta 0.000 0.000 6.405
Ta 0.000 0.000 9.466
Ta 0.000 0.000 12.663
Cr 1.586 1.586 7.935
Tc 1.586 1.586 1.598
Tc 1.586 1.586 4.791
Tc 1.586 1.586 11.079
Tc 1.586 1.586 14.272
CELL_PARAMETERS angstrom
3.172 0.000 0.000
0.000 3.172 0.000
0.000 0.000 15.870
```

Properties
Spin magnetization   0.5 μB per cell
E_tot   -114.41 eV/f.u.

---

No. 19
VASP calculation (PBE-GGA) on an optimized crystal structure of Mo3W. Values from VASP.

```
&SYSTEM
  ibrav = 0, nat = 4, ntyp = 2
/
ATOMIC_SPECIES
Mo 95.94 Mo.upf
W 183.84 W.upf
ATOMIC_POSITIONS angstrom
Mo 0.000 0.000 0.000
Mo 1.585 1.585 1.581
Mo 1.585 1.585 4.763
W 0.000 0.000 3.172
CELL_PARAMETERS angstrom
3.171 0.000 0.000
0.000 3.171 0.000
0.000 0.000 6.344
```

Properties
Spin magnetization   0.0 μB per cell
E_tot   -45.49 eV/f.u.

---

No. 20
VASP calculation (PBE-GGA) on an optimized crystal structure of Cs2ThSnSe5. Values from VASP.

```
&SYSTEM
  ibrav = 0, nat = 18, ntyp = 4
/
ATOMIC_SPECIES
Cs 132.91 Cs.upf
Th 232.04 Th.upf
Sn 118.71 Sn.upf
Se 78.96 Se.upf
ATOMIC_POSITIONS angstrom
Cs 2.176 8.015 7.751
Cs 2.176 8.006 13.170
Cs 2.176 -8.006 5.419
Cs 2.176 -8.015 0.000
Th 2.176 6.374 3.119
Th 2.176 -6.374 10.870
Sn 2.176 1.417 9.105
Sn 2.176 -1.417 1.354
Se 2.176 9.612 2.956
Se 2.176 4.117 12.711
Se 2.176 3.989 8.731
Se 2.176 3.711 2.712
Se 2.176 0.137 7.018
Se 2.176 -0.137 14.769
Se 2.176 -3.711 10.463
Se 2.176 -3.989 0.980
Se 2.176 -4.117 4.960
Se 2.176 -9.612 10.707
CELL_PARAMETERS angstrom
2.176 -10.782 0.000
2.176 10.782 0.000
0.000 0.000 15.502
```

Properties
Spin magnetization   0.0 μB per cell
ΔE_f (raw)   -110.5 kJ/mol of atoms
E_tot   -40.86 eV/f.u.

---

No. 21
VASP calculation (PBE-GGA) on an optimized crystal structure of KCa4In. Values from VASP.

```
&SYSTEM
  ibrav = 0, nat = 6, ntyp = 3
/
ATOMIC_SPECIES
K 39.10 K.upf
Ca 40.08 Ca.upf
In 114.82 In.upf
ATOMIC_POSITIONS angstrom
K 0.000 0.000 0.000
Ca 6.307 3.804 3.804
Ca 3.804 6.307 3.804
Ca 3.804 3.804 6.307
Ca 6.307 6.307 6.307
In 2.528 2.528 2.528
CELL_PARAMETERS angstrom
0.000 5.055 5.055
5.055 0.000 5.055
5.055 5.055 0.000
```

Properties
Spin magnetization   0.0 μB per cell
E_tot   -10.61 eV/f.u.

---

No. 22
VASP calculation (PBE-GGA) on an optimized crystal structure of Sm5ZrCd4. Values from VASP.

```
&SYSTEM
  ibrav = 0, nat = 10, ntyp = 3
/
ATOMIC_SPECIES
Sm 150.36 Sm.upf
Zr 91.22 Zr.upf
Cd 112.41 Cd.upf
ATOMIC_POSITIONS angstrom
Sm 0.000 0.000 0.000
Sm 0.000 0.000 4.077
Sm 0.000 0.000 8.286
Sm 0.000 0.000 12.738
Sm 0.000 0.000 16.947
Zr 1.820 1.820 10.512
Cd 1.820 1.820 2.028
Cd 1.820 1.820 6.158
Cd 1.820 1.820 14.866
Cd 1.820 1.820 18.996
CELL_PARAMETERS angstrom
3.640 0.000 0.000
0.000 3.640 0.000
0.000 0.000 21.024
```

Properties
Spin magnetization   0.3 μB per cell
E_tot   -37.82 eV/f.u.

---

No. 23
VASP calculation (PBE-GGA) on an optimized crystal structure of LaMnP2S. Values from VASP.

```
&SYSTEM
  ibrav = 0, nat = 5, ntyp = 4
/
ATOMIC_SPECIES
La 138.91 La.upf
Mn 54.94 Mn.upf
P 30.97 P.upf
S 32.06 S.upf
ATOMIC_POSITIONS angstrom
La 0.000 0.000 0.000
Mn 2.756 2.756 2.692
P 0.000 2.756 0.000
P 2.756 0.000 0.000
S 0.000 0.000 2.692
CELL_PARAMETERS angstrom
5.511 0.000 0.000
0.000 5.511 0.000
0.000 0.000 5.385
```

Properties
Spin magnetization   3.5 μB per cell
ΔE_f (raw)   71.7 kJ/mol of atoms
E_tot   -25.33 eV/f.u.